Arrangement 1

This record from Alexandria describes Ti2BeF after structural relaxation. The functional is PBE-GGA.

Summary:
Density of states at the Fermi level = 10.84 states/eV/cell

Lattice parameters (Å, degrees): 4.7280 4.7280 10.8589 90.00 90.00 90.00
Last column: nearest neighbours and their distance in Å.
Space group I-42d (No. 122)
Asymmetric unit:
Ti 0.2187 0.2500 0.1250 [8 per cell]  2 F 2.08, 2 Be 2.24
Be 0.0000 0.0000 0.5000 [4 per cell]  4 Ti 2.24
F 0.0000 0.0000 0.0000 [4 per cell]  4 Ti 2.08



Arrangement 2

This record from Alexandria describes Ti2BeF after structural relaxation. The functional is PBE-GGA.

Summary:
Density of states at the Fermi level = 38.78 states/eV/cell

Lattice parameters (Å, degrees): 5.9060 5.9060 5.9060 90.00 90.00 90.00
Last column: nearest neighbours and their distance in Å.
Space group Fm-3m (No. 225)
Asymmetric unit:
Ti 0.2500 0.2500 0.2500 [8 per cell]  4 F 2.56, 4 Be 2.56
Be 0.0000 0.0000 0.0000 [4 per cell]  8 Ti 2.56
F 0.0000 0.0000 0.5000 [4 per cell]  8 Ti 2.56



Computed energies relative to the best structure, in meV per atom: arrangement 1 41; arrangement 2 0



Arrangement 1

This record from Alexandria describes BeTlF3 after structural relaxation. The functional is PBE-GGA.

Summary:
Density of states at the Fermi level = 0.00 states/eV/cell

Lattice parameters (Å, degrees): 4.7242 5.9185 12.1383 90.00 90.00 90.00
Last column: nearest neighbours and their distance in Å.
Space group Pnma (No. 62)
Asymmetric unit:
Be 0.1897 0.2500 0.1744 [4 per cell]  4 F 1.54-1.60
Tl 0.2356 0.7500 0.4004 [4 per cell]  6 F 2.81-2.94
F 0.1347 0.7500 0.7865 [4 per cell]  2 Be 1.59-1.60
F 0.2455 0.0348 0.1066 [8 per cell]  1 Be 1.54



Arrangement 2

This record from Alexandria describes BeTlF3 after structural relaxation. The functional is PBE-GGA.

Summary:
Density of states at the Fermi level = 0.00 states/eV/cell

Lattice parameters (Å, degrees): 3.9024 3.9024 3.9024 90.00 90.00 90.00
Last column: nearest neighbours and their distance in Å.
Space group Pm-3m (No. 221)
Asymmetric unit:
Be 0.0000 0.0000 0.0000 [1 per cell]  6 F 1.95
Tl 0.5000 0.5000 0.5000 [1 per cell]  12 F 2.76
F 0.0000 0.0000 0.5000 [3 per cell]  2 Be 1.95



Computed energies relative to the best structure, in meV per atom: arrangement 1 0; arrangement 2 499



Arrangement 1

This record from Alexandria describes Be3TlF after structural relaxation. The functional is PBE-GGA.

Summary:
Density of states at the Fermi level = 1.57 states/eV/cell

Lattice parameters (Å, degrees): 3.9767 3.9767 3.9767 90.00 90.00 90.00
Last column: nearest neighbours and their distance in Å.
Space group Pm-3m (No. 221)
Asymmetric unit:
Be 0.0000 0.0000 0.5000 [3 per cell]  2 F 1.99
Tl 0.5000 0.5000 0.5000 [1 per cell]  12 Be 2.81
F 0.0000 0.0000 0.0000 [1 per cell]  6 Be 1.99



Arrangement 2

This record from Alexandria describes Be3TlF after structural relaxation. The functional is PBE-GGA.

Summary:
Density of states at the Fermi level = 0.00 states/eV/cell

Lattice parameters (Å, degrees): 4.5526 4.5526 4.5526 90.00 90.00 90.00
Last column: nearest neighbours and their distance in Å.
Space group Pm-3m (No. 221)
Asymmetric unit:
Be 0.0000 0.0000 0.5000 [3 per cell]  2 Tl 2.28
Tl 0.0000 0.0000 0.0000 [1 per cell]  6 Be 2.28
F 0.5000 0.5000 0.5000 [1 per cell]  12 Be 3.22



Computed energies relative to the best structure, in meV per atom: arrangement 1 0; arrangement 2 349